[1]
AgSbPb2S4 at its PBEsol-relaxed geometry, computed with meta-GGA SCAN.

a b c (Å): 5.6464 5.6464 7.0739
angles (deg): 113.52 113.52 90.00
Closest atoms and distances in Å follow each position.
Fractional coordinates of all 8 atoms:
Pb  0.7500  0.2500  0.5000  6 S 2.83-2.92
Pb  0.2500  0.7500  0.5000  6 S 2.83-2.92
Sb  0.5000  0.5000  0.0000  6 S 2.70-2.82
S  0.0000  0.5000  0.0000  2 Sb 2.82, 2 Ag 2.82, 2 Pb 2.92
S  0.7310  0.7310  0.4619  1 Sb 2.70, 4 Pb 2.83
S  0.5000  0.0000  0.0000  2 Sb 2.82, 2 Ag 2.82, 2 Pb 2.92
S  0.2690  0.2690  0.5381  1 Sb 2.70, 4 Pb 2.83
Ag  0.0000  0.0000  0.0000  6 S 2.82-3.14

Output
- energy relative to the elements, uncorrected (eV per atom) = -0.317
- mass density (Mg/m³) = 6.89
- crystal system = tetragonal
- DOS at the Fermi energy (states/eV/atom) = 0.003
- spin magnetization (μB/atom) = 0.00
- symmetry = No. 139

=====

[2]
GaReHg2H at its PBEsol-relaxed geometry, computed with meta-GGA SCAN.

a b c (Å): 3.0023 5.1554 5.1554
angles (deg): 90.00 90.00 90.00
Closest atoms and distances in Å follow each position.
Fractional coordinates of all 5 atoms:
Re  0.5000  0.5000  0.5000  8 Hg 2.98, 2 Re 3.00
Hg  0.0000  0.0000  0.5000  2 Ga 2.58
Hg  0.0000  0.5000  0.0000  2 Ga 2.58
Ga  0.0000  0.0000  0.0000  2 H 1.50
H  0.5000  0.0000  0.0000  2 Ga 1.50

Output
- mass density (Mg/m³) = 13.70
- crystal system = tetragonal
- DOS at the Fermi energy (states/eV/atom) = 0.216
- spin magnetization (μB/atom) = 0.00
- symmetry = No. 123
- total energy (eV for the cell shown) = -222.49

=====

[3]
MgCrHg2 at its PBEsol-relaxed geometry, computed with meta-GGA SCAN.

a b c (Å): 3.1964 4.8212 5.5124
angles (deg): 100.82 90.00 109.36
Closest atoms and distances in Å follow each position.
Fractional coordinates of all 4 atoms:
Cr  0.0000  0.0000  0.5000  6 Hg 2.85-2.89, 4 Mg 3.19
Hg  0.7457  0.4915  0.7403  3 Cr 2.85-2.89, 3 Mg 2.88-2.94, 2 Hg 3.11
Hg  0.2543  0.5085  0.2597  3 Cr 2.85-2.89, 3 Mg 2.88-2.94, 2 Hg 3.11
Mg  0.5000  0.0000  0.0000  6 Hg 2.88-2.94, 4 Cr 3.19, 2 Mg 3.20

Output
- mass density (Mg/m³) = 10.09
- crystal system = monoclinic
- DOS at the Fermi energy (states/eV/atom) = 0.447
- spin magnetization (μB/atom) = 1.02
- symmetry = No. 12
- ΔH_f (0 K) (eV/atom) = -0.02

=====

[4]
MgCo2IrO at its PBEsol-relaxed geometry, computed with meta-GGA SCAN.

a b c (Å): 3.6839 4.6815 4.6815
angles (deg): 90.00 90.00 90.00
Closest atoms and distances in Å follow each position.
Fractional coordinates of all 5 atoms:
Mg  0.5000  0.5000  0.5000  8 Co 2.98, 4 O 3.31
Ir  0.0000  0.0000  0.0000  2 O 1.84
Co  0.0000  0.0000  0.5000  2 Ir 2.34
Co  0.0000  0.5000  0.0000  2 Ir 2.34
O  0.5000  0.0000  0.0000  2 Ir 1.84

Output
- energy relative to the elements, uncorrected (eV per atom) = 0.468
- mass density (Mg/m³) = 7.21
- crystal system = tetragonal
- DOS at the Fermi energy (states/eV/atom) = 0.805
- spin magnetization (μB/atom) = 0.84
- symmetry = No. 123

=====

[5]
Be2SiTc2 at its PBEsol-relaxed geometry, computed with meta-GGA SCAN.

a b c (Å): 3.1350 5.8049 5.8049
angles (deg): 90.00 90.00 90.00
Closest atoms and distances in Å follow each position.
Fractional coordinates of all 10 atoms:
Be  0.0000  0.3795  0.8795  1 Be 1.98
Be  0.0000  0.8795  0.6205  1 Be 1.98
Be  0.0000  0.6205  0.1205  1 Be 1.98
Be  0.0000  0.1205  0.3795  1 Be 1.98
Si  0.0000  0.0000  0.0000  4 Be 2.31
Si  0.0000  0.5000  0.5000  4 Be 2.31
Tc  0.5000  0.1786  0.6786  6 Be 2.27-2.36
Tc  0.5000  0.6786  0.8214  6 Be 2.27-2.36
Tc  0.5000  0.8214  0.3214  6 Be 2.27-2.36
Tc  0.5000  0.3214  0.1786  6 Be 2.27-2.36

Output
- energy relative to the elements, uncorrected (eV per atom) = -0.541
- mass density (Mg/m³) = 7.61
- crystal system = tetragonal
- DOS at the Fermi energy (states/eV/atom) = 0.163
- spin magnetization (μB/atom) = 0.00
- symmetry = No. 127

=====

[6]
CoNi at its PBEsol-relaxed geometry, computed with meta-GGA SCAN.

a b c (Å): 2.4429 2.4429 4.2536
angles (deg): 73.31 73.31 60.00
Closest atoms and distances in Å follow each position.
Fractional coordinates of all 2 atoms:
Ni  0.5000  0.5000  0.5000  6 Ni 2.44, 6 Co 2.45
Co  0.0000  0.0000  0.0000  6 Co 2.44, 6 Ni 2.45

Output
- mass density (Mg/m³) = 9.42
- crystal system = trigonal
- DOS at the Fermi energy (states/eV/atom) = 1.030
- spin magnetization (μB/atom) = 1.26
- symmetry = No. 166
- ΔH_f (0 K) (eV/atom) = 0.03